This record from OQMD describes crystalline CoGeO3 at its relaxed geometry. The functional is GGA+U.

## Properties
calculated total energy	-6.333	eV/atom

a = 9.6383 Å, b = 8.9782 Å, c = 5.1740 Å
α = 90.00°, β = 100.82°, γ = 90.00°
Space group C2/c (No. 15)
Inequivalent atoms, fractional coordinates:
Co (0.0000, 0.0919, 0.2500) [4 per cell]
Co (0.0000, 0.2690, 0.7500) [4 per cell]
Ge (0.1985, 0.4048, 0.2861) [8 per cell]
O (0.1166, 0.0904, 0.6337) [8 per cell]
O (0.1187, 0.2528, 0.1143) [8 per cell]
O (0.1372, 0.4304, 0.5947) [8 per cell]